(1)
# CdPt2Se, optimized geometry, DFT GGA-PBE
data_CdPt2Se
_chemical_formula_sum 'Cd2 Pt4 Se2'
_symmetry_space_group_name_H-M 'C 1 m 1'
_symmetry_Int_Tables_number 8
_symmetry_space_group_name_Hall 'C -2y'
_cell_length_a 10.1355
_cell_length_b 3.6073
_cell_length_c 4.6678
_cell_angle_alpha 90.00
_cell_angle_beta 95.80
_cell_angle_gamma 90.00
loop_
_atom_site_label
_atom_site_type_symbol
_atom_site_fract_x
_atom_site_fract_y
_atom_site_fract_z
Cd1 Cd 0.0000 0.0000 0.0000
Pt1 Pt 0.1447 0.0000 0.5304
Pt2 Pt 0.4464 0.0000 0.5352
Se1 Se 0.2804 0.5000 0.3400
# DOS(E_F) in states/eV/atom: 0.561
# Crystal system: monoclinic
# E_form (uncorrected) in eV/atom: -0.16

=====

(2)
# Cd2PtSe, optimized geometry, DFT GGA-PBE
data_Cd2PtSe
_chemical_formula_sum 'Cd6 Pt3 Se3'
_symmetry_space_group_name_H-M 'R -3 m'
_symmetry_Int_Tables_number 166
_symmetry_space_group_name_Hall '-R 3 2"'
_cell_length_a 3.9450
_cell_length_b 3.9450
_cell_length_c 19.7269
_cell_angle_alpha 90.00
_cell_angle_beta 90.00
_cell_angle_gamma 120.00
loop_
_atom_site_label
_atom_site_type_symbol
_atom_site_fract_x
_atom_site_fract_y
_atom_site_fract_z
Cd1 Cd 0.0000 0.0000 0.2473
Pt1 Pt 0.0000 0.0000 0.5000
Se1 Se 0.0000 0.0000 0.0000
# DOS(E_F) in states/eV/atom: 0.338
# Crystal system: trigonal
# E_form (uncorrected) in eV/atom: -0.12

=====

(3)
# CdPt2Se, optimized geometry, DFT GGA-PBE
data_CdPt2Se
_chemical_formula_sum 'Cd4 Pt8 Se4'
_symmetry_space_group_name_H-M 'F -4 3 m'
_symmetry_Int_Tables_number 216
_symmetry_space_group_name_Hall 'F -4 2 3'
_cell_length_a 6.5984
_cell_length_b 6.5984
_cell_length_c 6.5984
_cell_angle_alpha 90.00
_cell_angle_beta 90.00
_cell_angle_gamma 90.00
loop_
_atom_site_label
_atom_site_type_symbol
_atom_site_fract_x
_atom_site_fract_y
_atom_site_fract_z
Cd1 Cd 0.0000 0.0000 0.0000
Pt1 Pt 0.0000 0.0000 0.5000
Pt2 Pt 0.2500 0.2500 0.7500
Se1 Se 0.2500 0.2500 0.2500
# DOS(E_F) in states/eV/atom: 1.325
# Crystal system: cubic
# E_form (uncorrected) in eV/atom: 0.20

=====

(4)
# CdPt2Se, optimized geometry, DFT GGA-PBE
data_CdPt2Se
_chemical_formula_sum 'Cd3 Pt6 Se3'
_symmetry_space_group_name_H-M 'R 3 m'
_symmetry_Int_Tables_number 160
_symmetry_space_group_name_Hall 'R 3 -2"'
_cell_length_a 3.6453
_cell_length_b 3.6453
_cell_length_c 21.7556
_cell_angle_alpha 90.00
_cell_angle_beta 90.00
_cell_angle_gamma 120.00
loop_
_atom_site_label
_atom_site_type_symbol
_atom_site_fract_x
_atom_site_fract_y
_atom_site_fract_z
Cd1 Cd 0.0000 0.0000 0.0000
Pt1 Pt 0.0000 0.0000 0.4919
Pt2 Pt 0.0000 0.0000 0.7514
Se1 Se 0.0000 0.0000 0.2184
# DOS(E_F) in states/eV/atom: 0.390
# Crystal system: trigonal
# E_form (uncorrected) in eV/atom: -0.07

=====

(5)
# CdPt2Se, optimized geometry, DFT GGA-PBE
data_CdPt2Se
_chemical_formula_sum 'Cd1 Pt2 Se1'
_symmetry_space_group_name_H-M 'P 4/m m m'
_symmetry_Int_Tables_number 123
_symmetry_space_group_name_Hall '-P 4 2'
_cell_length_a 3.0344
_cell_length_b 3.0344
_cell_length_c 7.5737
_cell_angle_alpha 90.00
_cell_angle_beta 90.00
_cell_angle_gamma 90.00
loop_
_atom_site_label
_atom_site_type_symbol
_atom_site_fract_x
_atom_site_fract_y
_atom_site_fract_z
Cd1 Cd 0.0000 0.0000 0.0000
Pt1 Pt 0.5000 0.5000 0.2628
Se1 Se 0.0000 0.0000 0.5000
# DOS(E_F) in states/eV/atom: 0.436
# Crystal system: tetragonal
# E_form (uncorrected) in eV/atom: -0.01

=====

(6)
# CdPt2Se, optimized geometry, DFT GGA-PBE
data_CdPt2Se
_chemical_formula_sum 'Cd1 Pt2 Se1'
_symmetry_space_group_name_H-M 'P m m m'
_symmetry_Int_Tables_number 47
_symmetry_space_group_name_Hall '-P 2 2'
_cell_length_a 2.9362
_cell_length_b 4.2580
_cell_length_c 5.7365
_cell_angle_alpha 90.00
_cell_angle_beta 90.00
_cell_angle_gamma 90.00
loop_
_atom_site_label
_atom_site_type_symbol
_atom_site_fract_x
_atom_site_fract_y
_atom_site_fract_z
Cd1 Cd 0.0000 0.0000 0.0000
Pt1 Pt 0.5000 0.5000 0.2437
Se1 Se 0.5000 0.0000 0.5000
# DOS(E_F) in states/eV/atom: 0.497
# Crystal system: orthorhombic
# E_form (uncorrected) in eV/atom: -0.07

=====

(7)
# Cd2PtSe, optimized geometry, DFT GGA-PBE
data_Cd2PtSe
_chemical_formula_sum 'Cd4 Pt2 Se2'
_symmetry_space_group_name_H-M 'I 4/m m m'
_symmetry_Int_Tables_number 139
_symmetry_space_group_name_Hall '-I 4 2'
_cell_length_a 4.3075
_cell_length_b 4.3075
_cell_length_c 8.3534
_cell_angle_alpha 90.00
_cell_angle_beta 90.00
_cell_angle_gamma 90.00
loop_
_atom_site_label
_atom_site_type_symbol
_atom_site_fract_x
_atom_site_fract_y
_atom_site_fract_z
Cd1 Cd 0.0000 0.5000 0.2500
Pt1 Pt 0.0000 0.0000 0.0000
Se1 Se 0.0000 0.0000 0.5000
# DOS(E_F) in states/eV/atom: 0.246
# Crystal system: tetragonal
# E_form (uncorrected) in eV/atom: -0.04

=====

(8)
# Cd2PtSe, optimized geometry, DFT GGA-PBE
data_Cd2PtSe
_chemical_formula_sum 'Cd4 Pt2 Se2'
_symmetry_space_group_name_H-M 'I m m 2'
_symmetry_Int_Tables_number 44
_symmetry_space_group_name_Hall 'I 2 -2'
_cell_length_a 2.9889
_cell_length_b 4.7110
_cell_length_c 12.3103
_cell_angle_alpha 90.00
_cell_angle_beta 90.00
_cell_angle_gamma 90.00
loop_
_atom_site_label
_atom_site_type_symbol
_atom_site_fract_x
_atom_site_fract_y
_atom_site_fract_z
Cd1 Cd 0.0000 0.0000 0.0000
Cd2 Cd 0.0000 0.5000 0.1792
Pt1 Pt 0.0000 0.0000 0.4812
Se1 Se 0.0000 0.5000 0.7999
# DOS(E_F) in states/eV/atom: 0.379
# Crystal system: orthorhombic
# E_form (uncorrected) in eV/atom: -0.17

=====

(9)
# Cd3PtSe, optimized geometry, DFT GGA-PBE
data_Cd3PtSe
_chemical_formula_sum 'Cd3 Pt1 Se1'
_symmetry_space_group_name_H-M 'P m -3 m'
_symmetry_Int_Tables_number 221
_symmetry_space_group_name_Hall '-P 4 2 3'
_cell_length_a 5.1863
_cell_length_b 5.1863
_cell_length_c 5.1863
_cell_angle_alpha 90.00
_cell_angle_beta 90.00
_cell_angle_gamma 90.00
loop_
_atom_site_label
_atom_site_type_symbol
_atom_site_fract_x
_atom_site_fract_y
_atom_site_fract_z
Cd1 Cd 0.0000 0.0000 0.5000
Pt1 Pt 0.0000 0.0000 0.0000
Se1 Se 0.5000 0.5000 0.5000
# DOS(E_F) in states/eV/atom: 0.632
# Crystal system: cubic
# E_form (uncorrected) in eV/atom: 0.09

=====

(10)
# CdPt2Se, optimized geometry, DFT GGA-PBE
data_CdPt2Se
_chemical_formula_sum 'Cd1 Pt2 Se1'
_symmetry_space_group_name_H-M 'P 4/m m m'
_symmetry_Int_Tables_number 123
_symmetry_space_group_name_Hall '-P 4 2'
_cell_length_a 4.3939
_cell_length_b 4.3939
_cell_length_c 3.6378
_cell_angle_alpha 90.00
_cell_angle_beta 90.00
_cell_angle_gamma 90.00
loop_
_atom_site_label
_atom_site_type_symbol
_atom_site_fract_x
_atom_site_fract_y
_atom_site_fract_z
Cd1 Cd 0.0000 0.0000 0.0000
Pt1 Pt 0.0000 0.5000 0.5000
Se1 Se 0.5000 0.5000 0.0000
# DOS(E_F) in states/eV/atom: 0.619
# Crystal system: tetragonal
# E_form (uncorrected) in eV/atom: 0.02

=====

(11)
# Cd3PtSe, optimized geometry, DFT GGA-PBE
data_Cd3PtSe
_chemical_formula_sum 'Cd3 Pt1 Se1'
_symmetry_space_group_name_H-M 'P m -3 m'
_symmetry_Int_Tables_number 221
_symmetry_space_group_name_Hall '-P 4 2 3'
_cell_length_a 5.2015
_cell_length_b 5.2015
_cell_length_c 5.2015
_cell_angle_alpha 90.00
_cell_angle_beta 90.00
_cell_angle_gamma 90.00
loop_
_atom_site_label
_atom_site_type_symbol
_atom_site_fract_x
_atom_site_fract_y
_atom_site_fract_z
Cd1 Cd 0.0000 0.0000 0.5000
Pt1 Pt 0.5000 0.5000 0.5000
Se1 Se 0.0000 0.0000 0.0000
# DOS(E_F) in states/eV/atom: 0.866
# Crystal system: cubic
# E_form (uncorrected) in eV/atom: 0.64

=====

(12)
# CdPt2Se, optimized geometry, DFT GGA-PBE
data_CdPt2Se
_chemical_formula_sum 'Cd3 Pt6 Se3'
_symmetry_space_group_name_H-M 'R -3 m'
_symmetry_Int_Tables_number 166
_symmetry_space_group_name_Hall '-R 3 2"'
_cell_length_a 3.1353
_cell_length_b 3.1353
_cell_length_c 25.0742
_cell_angle_alpha 90.00
_cell_angle_beta 90.00
_cell_angle_gamma 120.00
loop_
_atom_site_label
_atom_site_type_symbol
_atom_site_fract_x
_atom_site_fract_y
_atom_site_fract_z
Cd1 Cd 0.0000 0.0000 0.0000
Pt1 Pt 0.0000 0.0000 0.2450
Se1 Se 0.0000 0.0000 0.5000
# DOS(E_F) in states/eV/atom: 0.931
# Crystal system: trigonal
# E_form (uncorrected) in eV/atom: -0.01

=====

(13)
# Cd2PtSe, optimized geometry, DFT GGA-PBE
data_Cd2PtSe
_chemical_formula_sum 'Cd4 Pt2 Se2'
_symmetry_space_group_name_H-M 'I -4 m 2'
_symmetry_Int_Tables_number 119
_symmetry_space_group_name_Hall 'I -4 -2'
_cell_length_a 4.1406
_cell_length_b 4.1406
_cell_length_c 9.1105
_cell_angle_alpha 90.00
_cell_angle_beta 90.00
_cell_angle_gamma 90.00
loop_
_atom_site_label
_atom_site_type_symbol
_atom_site_fract_x
_atom_site_fract_y
_atom_site_fract_z
Cd1 Cd 0.0000 0.0000 0.0000
Cd2 Cd 0.0000 0.5000 0.2500
Pt1 Pt 0.0000 0.5000 0.7500
Se1 Se 0.0000 0.0000 0.5000
# DOS(E_F) in states/eV/atom: 0.144
# Crystal system: tetragonal
# E_form (uncorrected) in eV/atom: -0.05

=====

(14)
# CdPt2Se, optimized geometry, DFT GGA-PBE
data_CdPt2Se
_chemical_formula_sum 'Cd1 Pt2 Se1'
_symmetry_space_group_name_H-M 'P m m 2'
_symmetry_Int_Tables_number 25
_symmetry_space_group_name_Hall 'P 2 -2'
_cell_length_a 2.8954
_cell_length_b 4.9432
_cell_length_c 5.0572
_cell_angle_alpha 90.00
_cell_angle_beta 90.00
_cell_angle_gamma 90.00
loop_
_atom_site_label
_atom_site_type_symbol
_atom_site_fract_x
_atom_site_fract_y
_atom_site_fract_z
Cd1 Cd 0.0000 0.0000 0.0000
Pt1 Pt 0.5000 0.0000 0.5050
Pt2 Pt 0.5000 0.5000 0.8762
Se1 Se 0.5000 0.5000 0.3775
# DOS(E_F) in states/eV/atom: 0.586
# Crystal system: orthorhombic
# E_form (uncorrected) in eV/atom: -0.10

=====

(15)
# CdSn2PtSe, optimized geometry, DFT GGA-PBE
data_CdSn2PtSe
_chemical_formula_sum 'Cd1 Sn2 Pt1 Se1'
_symmetry_space_group_name_H-M 'P 4/m m m'
_symmetry_Int_Tables_number 123
_symmetry_space_group_name_Hall '-P 4 2'
_cell_length_a 5.4926
_cell_length_b 5.4926
_cell_length_c 4.9634
_cell_angle_alpha 90.00
_cell_angle_beta 90.00
_cell_angle_gamma 90.00
loop_
_atom_site_label
_atom_site_type_symbol
_atom_site_fract_x
_atom_site_fract_y
_atom_site_fract_z
Cd1 Cd 0.0000 0.0000 0.0000
Sn1 Sn 0.0000 0.5000 0.0000
Pt1 Pt 0.0000 0.0000 0.5000
Se1 Se 0.5000 0.5000 0.5000
# DOS(E_F) in states/eV/atom: 0.680
# Crystal system: tetragonal
# E_form (uncorrected) in eV/atom: 0.72